The following is a PBE-GGA calculation of a geometry-optimized Li2AcAu4 structure, from Alexandria.

## Properties
- D(E_F): 2.93 states/eV/f.u.
- E_form: -0.668 eV per atom
- Energy: -3.6743 eV/atom
- Relative energy among the computed polymorphs: 0.000 eV per atom
- SG: I4/mmm, No. 139

Lattice parameters (Å, degrees): 7.351 7.351 5.394 90.00 90.00 90.00
Positions (direct):
Li 0.000 0.500 0.250
Li 0.000 0.500 0.750
Li 0.500 0.000 0.250
Li 0.500 0.000 0.750
Ac 0.000 0.000 0.000
Ac 0.500 0.500 0.500
Au 0.198 0.198 0.500
Au 0.198 0.802 0.500
Au 0.302 0.302 0.000
Au 0.302 0.698 0.000
Au 0.698 0.302 0.000
Au 0.698 0.698 0.000
Au 0.802 0.198 0.500
Au 0.802 0.802 0.500